Version i
Computed, not measured: crystalline CrGePdO at its relaxed geometry at the PBE with a Hubbard U level of DFT.

a b c (Å): 3.102 3.102 7.191
angles (deg): 90.00 90.00 120.00
Fractional positions:
Pd (0.000, 0.000, 0.454)
Cr (0.333, 0.667, 0.894)
O (0.000, 0.000, 0.777)
Ge (0.667, 0.333, 0.210)

Output
Volume: 59.9 Å³/f.u.
Space group: P3m1

***

Version ii
Computed, not measured: crystalline CrGePdO at its relaxed geometry at the PBE with a Hubbard U level of DFT.

a b c (Å): 3.095 3.323 7.191
angles (deg): 117.39 102.44 90.00
Fractional positions:
Ge (0.151, 0.688, 0.645)
O (0.004, 0.394, 0.352)
Pd (0.740, 0.366, 0.824)
Cr (0.401, 0.184, 0.145)

Output
Volume: 63.7 Å³/f.u.
Space group: Cm

***

Energy relative to the most stable one, in meV per atom: version i 76; version ii 0